A relaxed structure of AsPOs, computed with GGA-PBE.

Cell: 5.3011 2.9992 6.0972 Å, 90.00 92.05 90.00°
With the nearest neighbours (Å) after each atom.
Space group P2/m (No. 10)
Unique sites:
As: 0.1711 0.0000 0.1366 (multiplicity 2)  1 As 2.42, 3 Os 2.42-2.47
P: 0.3351 0.5000 0.6280 (multiplicity 2)  1 P 2.39, 3 Os 2.40-2.43
Os: 0.0000 0.0000 0.5000 (multiplicity 1)  2 As 2.42, 4 P 2.43
Os: 0.5000 0.5000 0.0000 (multiplicity 1)  2 P 2.40, 4 As 2.47

Values from the calculation:
As for the density: 10.15 g/cm³. The value obtained for the energy above the lowest structure with this stoichiometry is 4.1 kJ/mol of atoms. The electronic total energy is -44.5 eV per cell. As for the crystal system: monoclinic.

A relaxed structure of Zn2As3POs2, computed with GGA-PBE.

Cell: 12.5020 5.5056 5.5626 Å, 90.00 115.66 90.00°
With the nearest neighbours (Å) after each atom.
Space group C2 (No. 5)
Unique sites:
Zn: 0.1189 0.0000 0.3553 (multiplicity 4)  1 P 2.40, 3 As 2.51-2.53
As: 0.0000 0.7137 0.5000 (multiplicity 2)  2 Os 2.38, 2 Zn 2.53
As: 0.2495 0.2304 0.7693 (multiplicity 4)  2 Os 2.37, 2 Zn 2.51-2.53
P: 0.0000 0.2691 0.0000 (multiplicity 2)  2 Os 2.24, 2 Zn 2.40
Os: 0.1218 0.4786 0.8781 (multiplicity 4)  1 P 2.24, 3 As 2.37-2.38

Values from the calculation:
As for the density: 7.38 g/cm³. The electronic total energy is -85.8 eV per cell. As for the crystal system: monoclinic.

A relaxed structure of PaAsOs, computed with GGA-PBE.

Cell: 6.4168 6.4168 6.4168 Å, 90.00 90.00 90.00°
With the nearest neighbours (Å) after each atom.
Space group F-43m (No. 216)
Unique sites:
Pa: 0.0000 0.0000 0.0000 (multiplicity 4)  4 Os 2.78
As: 0.0000 0.0000 0.5000 (multiplicity 4)  4 Os 2.78
Os: 0.2500 0.2500 0.7500 (multiplicity 4)  4 Pa 2.78, 4 As 2.78

Values from the calculation:
As for the density: 12.47 g/cm³. The electronic total energy is -105.5 eV per cell. As for the crystal system: cubic.

A relaxed structure of PaAsOs, computed with GGA-PBE.

Cell: 6.5496 6.5496 6.5496 Å, 90.00 90.00 90.00°
With the nearest neighbours (Å) after each atom.
Space group F-43m (No. 216)
Unique sites:
Pa: 0.0000 0.0000 0.0000 (multiplicity 4)  4 Os 2.84, 4 As 2.84
As: 0.2500 0.2500 0.7500 (multiplicity 4)  4 Pa 2.84
Os: 0.2500 0.2500 0.2500 (multiplicity 4)  4 Pa 2.84

Values from the calculation:
As for the density: 11.73 g/cm³. The electronic total energy is -97.8 eV per cell. As for the crystal system: cubic.